(1)
Li4Ag5Hg (PBE-GGA, relaxed); crystal system = monoclinic; ΔE_f = -0.197 eV/atom; space-group type = C2/m
1.0
7.015 -2.239 0.000
7.015 2.239 0.000
-1.753 0.000 5.371
Li Ag Hg
4 5 1
Cartesian
0.739 0.000 1.952
3.863 0.000 1.080
8.415 0.000 4.291
11.538 0.000 3.419
-0.015 0.000 4.745
2.862 0.000 3.739
7.015 0.000 0.000
9.415 0.000 1.632
12.293 0.000 0.626
6.139 0.000 2.686

***

(2)
LaRe2Se (PBE-GGA, relaxed); crystal system = monoclinic; uncorrected energy = -33.23 eV for the cell shown; space-group type = Pm
1.0
4.065 0.000 0.000
0.000 3.706 0.000
-1.101 0.000 5.926
La Re Se
1 2 1
Cartesian
0.000 0.000 0.000
-0.590 1.853 3.369
0.925 0.000 3.253
1.988 1.853 1.334